1.
# PaHg2Cl4

A geometry-optimized PaHg2Cl4 structure (PBE, Alexandria via LeMat-Bulk).

## Properties
For the formation energy from raw total energies, the calculation gives -1244 meV/atom.

Cell lengths 5.4477, 5.4477, 11.8169 Å; angles 76.67, 76.67, 90.00 degrees
With the nearest neighbours (Å) after each atom.
Atoms (fractional coordinates):
Cl  0.1130  0.1130  0.7740  1 Pa 2.52
Cl  0.8870  0.8870  0.2260  1 Pa 2.52
Cl  0.0000  0.5000  0.0000  2 Pa 2.72
Cl  0.5000  0.0000  0.0000  2 Pa 2.72
Pa  0.0000  0.0000  0.0000  6 Cl 2.52-2.72
Hg  0.2853  0.2853  0.4294  1 Cl 3.85, 4 Hg 4.16
Hg  0.7147  0.7147  0.5706  1 Cl 3.85, 4 Hg 4.16

***

2.
# AsPtSe2N

A geometry-optimized AsPtSe2N structure (PBE, Alexandria via LeMat-Bulk).

## Properties
For the energy relative to the lowest polymorph listed for this composition, the calculation gives 134 kJ/mol of formula units. For the formation energy from raw total energies, the calculation gives 958 meV/atom.

Cell lengths 4.3362, 4.3362, 4.3535 Å; angles 90.00, 90.00, 90.00 degrees
With the nearest neighbours (Å) after each atom.
Atoms (fractional coordinates):
Se  0.0000  0.5000  0.0000  2 N 2.17
Se  0.5000  0.0000  0.0000  2 N 2.17
Pt  0.5000  0.5000  0.5000  4 As 3.07, 8 Se 3.07
N  0.0000  0.0000  0.0000  4 Se 2.17, 2 As 2.18
As  0.0000  0.0000  0.5000  2 N 2.18

***

Uncorrected energy for the records above, in order: -3.742, -4.239 eV per atom